one | Density functional theory data (PBE-GGA) for crystalline TlInTe2I at its relaxed geometry.

Its crystal system is tetragonal.

The space group is P4/mmm (No. 123) and the conventional cell measures 5.806, 5.806 and 6.275 Å, with angles of 90.00, 90.00 and 90.00 degrees. The distinct sites, in fractional coordinates, are Tl at (0.000, 0.000, 0.000), In at (0.500, 0.500, 0.500), Te at (0.000, 0.500, 0.000) and I at (0.000, 0.000, 0.500).

---

two | Density functional theory data (PBE-GGA) for crystalline TlInTe2I at its relaxed geometry.

Its crystal system is tetragonal.

The space group is P4/mmm (No. 123) and the conventional cell measures 5.721, 5.721 and 6.107 Å, with angles of 90.00, 90.00 and 90.00 degrees. The distinct sites, in fractional coordinates, are Tl at (0.000, 0.000, 0.000), In at (0.500, 0.500, 0.500), Te at (0.000, 0.500, 0.500) and I at (0.500, 0.500, 0.000).

---

Most stable pick: two. Distance to second place: 0.236 eV/atom.